# 1
# LuPPdO

Crystalline LuPPdO at its relaxed geometry (PBE, the Open Quantum Materials Database).

Calculated values
As for the crystal system: tetragonal. As for the space-group type: P4/nmm (129). For the final energy, the calculation gives -6.878 eV per atom. The magnetization comes out at 0.00 μB/cell. The energy above the most stable polymorph in this dataset comes out at 0.0 meV per atom.

Cell lengths 3.992, 3.992, 7.658 Å; angles 90.00, 90.00, 90.00 degrees
Positions (direct):
Lu 0.500 0.500 0.871
O 0.000 0.500 0.000
Pd 0.000 0.500 0.500
O 0.500 0.000 0.000
Pd 0.500 0.000 0.500
P 0.000 0.000 0.673
P 0.500 0.500 0.327
Lu 0.000 0.000 0.129

# 2
# LuPPdO

Crystalline LuPPdO at its relaxed geometry (PBE, the Open Quantum Materials Database).

Calculated values
As for the crystal system: orthorhombic. As for the space-group type: Pmc2_1 (26). For the final energy, the calculation gives -6.309 eV per atom. The magnetization comes out at 0.01 μB/cell. The energy above the most stable polymorph in this dataset comes out at 569.6 meV per atom.

Cell lengths 3.846, 6.213, 5.658 Å; angles 90.00, 90.00, 90.00 degrees
Positions (direct):
P 0.000 0.535 0.797
O 0.500 0.042 0.875
Pd 0.000 0.206 0.007
Lu 0.500 0.764 0.075
O 0.500 0.958 0.375
P 0.000 0.465 0.297
Pd 0.000 0.794 0.507
Lu 0.500 0.236 0.575

# 3
# RbLuP2O7

Crystalline RbLuP2O7 at its relaxed geometry (PBE, the Open Quantum Materials Database).

Calculated values
As for the crystal system: monoclinic. As for the space-group type: P2_1/c (14). For the final energy, the calculation gives -7.353 eV per atom. The magnetization comes out at 0.00 μB/cell.

Cell lengths 7.607, 10.689, 8.534 Å; angles 90.00, 105.37, 90.00 degrees
Positions (direct):
O 0.452 0.723 0.732
P 0.131 0.903 0.818
O 0.010 0.497 0.215
P 0.869 0.403 0.682
Rb 0.811 0.682 0.943
O 0.333 0.891 0.516
O 0.548 0.223 0.768
Rb 0.189 0.182 0.557
O 0.923 0.228 0.252
O 0.077 0.772 0.748
P 0.558 0.138 0.312
O 0.010 0.003 0.715
O 0.923 0.272 0.752
O 0.138 0.589 0.496
Rb 0.811 0.818 0.443
Lu 0.767 0.098 0.746
P 0.558 0.362 0.812
Lu 0.767 0.402 0.246
O 0.367 0.082 0.266
Lu 0.233 0.902 0.254
O 0.990 0.503 0.785
Lu 0.233 0.598 0.754
O 0.663 0.433 0.694
O 0.337 0.567 0.306
O 0.138 0.911 0.996
P 0.869 0.097 0.182
O 0.367 0.418 0.766
O 0.077 0.728 0.248
O 0.862 0.089 0.004
O 0.990 0.997 0.285
P 0.442 0.862 0.688
O 0.667 0.109 0.484
O 0.548 0.277 0.268
O 0.862 0.411 0.504
O 0.337 0.933 0.806
Rb 0.189 0.318 0.057
O 0.333 0.609 0.016
O 0.452 0.777 0.232
O 0.667 0.391 0.984
O 0.633 0.582 0.234
P 0.131 0.597 0.318
O 0.633 0.918 0.734
O 0.663 0.067 0.194
P 0.442 0.638 0.188

# 4
# LuScPO

Crystalline LuScPO at its relaxed geometry (PBE, the Open Quantum Materials Database).

Calculated values
As for the crystal system: orthorhombic. As for the space-group type: Pmc2_1 (26). For the final energy, the calculation gives -7.269 eV per atom. The magnetization comes out at 0.01 μB/cell. The energy above the most stable polymorph in this dataset comes out at 108.4 meV per atom.

Cell lengths 4.018, 7.228, 5.144 Å; angles 90.00, 90.00, 90.00 degrees
Positions (direct):
P 0.000 0.141 0.935
Lu 0.500 0.362 0.965
Sc 0.000 0.781 0.938
Lu 0.500 0.638 0.465
O 0.500 0.335 0.415
Sc 0.000 0.219 0.438
O 0.500 0.665 0.915
P 0.000 0.859 0.435

# 5
# LuScPO

Crystalline LuScPO at its relaxed geometry (PBE, the Open Quantum Materials Database).

Calculated values
As for the crystal system: tetragonal. As for the space-group type: P4/nmm (129). For the final energy, the calculation gives -7.377 eV per atom. The magnetization comes out at 0.04 μB/cell. The energy above the most stable polymorph in this dataset comes out at 0.0 meV per atom.

Cell lengths 4.072, 4.072, 8.352 Å; angles 90.00, 90.00, 90.00 degrees
Positions (direct):
O 0.750 0.250 0.000
O 0.250 0.750 0.000
Sc 0.250 0.750 0.500
P 0.250 0.250 0.688
P 0.750 0.750 0.312
Sc 0.750 0.250 0.500
Lu 0.750 0.750 0.888
Lu 0.250 0.250 0.112

# 6
# LuScPO

Crystalline LuScPO at its relaxed geometry (PBE, the Open Quantum Materials Database).

Calculated values
As for the crystal system: orthorhombic. As for the space-group type: Pmc2_1 (26). For the final energy, the calculation gives -7.341 eV per atom. The magnetization comes out at 0.03 μB/cell. The energy above the most stable polymorph in this dataset comes out at 36.6 meV per atom.

Cell lengths 4.020, 6.952, 5.582 Å; angles 90.00, 90.00, 90.00 degrees
Positions (direct):
P 0.000 0.325 0.428
Lu 0.000 0.292 0.936
O 0.500 0.166 0.880
O 0.500 0.834 0.380
Lu 0.000 0.708 0.436
Sc 0.500 0.118 0.511
P 0.000 0.675 0.928
Sc 0.500 0.882 0.011

Question: What is the formula in the first record?
Answer: LuPPdO

Question: What is the formula in the second record?
Answer: LuPPdO